Density functional theory data (PBE) for a relaxed TlOs3Pb crystal.

a = 5.0354 Å, b = 5.0354 Å, c = 5.0354 Å
α = 90.00°, β = 90.00°, γ = 90.00°
Atoms (fractional coordinates):
Tl: 0.0000 0.0000 0.0000
Os: 0.0000 0.0000 0.5000
Os: 0.0000 0.5000 0.0000
Os: 0.5000 0.0000 0.0000
Pb: 0.5000 0.5000 0.5000

Results
- Size of the total moment: 5.528 Bohr magnetons per cell
- Theoretical density: 12.8 g/cm3
- Formation energy from the elements: 2.875 eV per atom

=====

Density functional theory data (PBE) for a relaxed TcPdRh2 crystal.

a = 4.3755 Å, b = 4.3755 Å, c = 4.3755 Å
α = 60.00°, β = 60.00°, γ = 60.00°
Atoms (fractional coordinates):
Tc: 0.0000 0.0000 0.0000
Pd: 0.5000 0.5000 0.5000
Rh: 0.2500 0.2500 0.2500
Rh: 0.7500 0.7500 0.7500

Results
- Size of the total moment: 1.107 Bohr magnetons per cell
- Theoretical density: 11.5 g/cm3
- Formation energy from the elements: 0.261 eV per atom

=====

Density functional theory data (PBE) for a relaxed Ta5BeRu6 crystal.

a = 7.6008 Å, b = 7.6008 Å, c = 7.6008 Å
α = 146.70°, β = 129.56°, γ = 61.79°
Atoms (fractional coordinates):
Ta: 0.0000 0.0000 0.0000
Ta: 0.1590 0.6590 0.5000
Ta: 0.3356 0.3356 0.0000
Ta: 0.6644 0.6644 0.0000
Ta: 0.8410 0.3410 0.5000
Be: 0.5000 0.0000 0.5000
Ru: 0.0930 0.8337 0.2592
Ru: 0.2671 0.5000 0.7671
Ru: 0.4255 0.1663 0.2592
Ru: 0.5745 0.8337 0.7408
Ru: 0.7329 0.5000 0.2329
Ru: 0.9070 0.1663 0.7408

Results
- Size of the total moment: 0.000 Bohr magnetons per cell
- Theoretical density: 13.7 g/cm3
- Formation energy from the elements: -0.370 eV per atom

=====

Density functional theory data (PBE) for a relaxed V3Tc4Mo crystal.

a = 3.0453 Å, b = 3.0453 Å, c = 12.2655 Å
α = 90.00°, β = 90.00°, γ = 90.00°
Atoms (fractional coordinates):
V: 0.0000 0.0000 0.0000
V: 0.0000 0.0000 0.2452
V: 0.0000 0.0000 0.7548
Tc: 0.5000 0.5000 0.1232
Tc: 0.5000 0.5000 0.3673
Tc: 0.5000 0.5000 0.6327
Tc: 0.5000 0.5000 0.8768
Mo: 0.0000 0.0000 0.5000

Results
- Size of the total moment: 0.000 Bohr magnetons per cell
- Theoretical density: 9.4 g/cm3
- Formation energy from the elements: -0.266 eV per atom

=====

> Which of these has the highest formation energy from the elements?

TlOs3Pb